## Nb3HgPd (meta-GGA SCAN)

Data for Nb3HgPd at its PBEsol-relaxed geometry.

ΔH_f (0 K) = 1.174 eV per atom
symmetry = Pm-3m, No. 221
ρ = 8.81 g/cm3
DOS(E_F) = 1.601 states/eV/atom

a = 4.797 Å, b = 4.797 Å, c = 4.797 Å
α = 90.00°, β = 90.00°, γ = 90.00°
Atoms (fractional coordinates):
Nb1 0.000 0.000 0.500
Nb2 0.000 0.500 0.000
Nb3 0.500 0.000 0.000
Hg1 0.500 0.500 0.500
Pd1 0.000 0.000 0.000